1.
Here is BaNa2LiHg after structural relaxation from Alexandria via LeMat-Bulk. Energies are from PBE.

E_tot in Ry per atom: -0.1048
Calculated formation energy in eV/atom: -0.071
Total magnetization in μB per cell: 0.000
Symmetry: P4/mmm (123)
DOS at the Fermi energy in states/eV per cell: 3.404
Distance to the lowest polymorph of the same formula in eV per formula unit: 0.00

Cell lengths 5.603, 5.603, 5.356 Å; angles 90.00, 90.00, 90.00 degrees
Sites, in units of the cell vectors:
1 Na 0.500 0.000 0.000
2 Na 0.000 0.500 0.000
3 Ba 0.500 0.500 0.500
4 Hg 0.000 0.000 0.500
5 Li 0.000 0.000 0.000

***

2.
Here is BaNaLi2Hg4 after structural relaxation from Alexandria via LeMat-Bulk. Energies are from PBE.

E_tot in Ry per atom: -0.1007
Calculated formation energy in eV/atom: -0.336
Total magnetization in μB per cell: 0.000
Symmetry: R-3m (166)
DOS at the Fermi energy in states/eV per cell: 4.602

Cell lengths 4.942, 4.942, 10.462 Å; angles 76.34, 76.34, 60.00 degrees
Sites, in units of the cell vectors:
1 Hg 0.599 0.599 0.203
2 Hg 0.879 0.879 0.364
3 Hg 0.121 0.121 0.636
4 Hg 0.401 0.401 0.797
5 Na 0.500 0.500 0.500
6 Li 0.769 0.769 0.694
7 Li 0.231 0.231 0.306
8 Ba 0.000 0.000 0.000

***

Please write out number 2 again, unchanged.
Here is BaNaLi2Hg4 after structural relaxation from Alexandria via LeMat-Bulk. Energies are from PBE.

E_tot in Ry per atom: -0.1007
Calculated formation energy in eV/atom: -0.336
Total magnetization in μB per cell: 0.000
Symmetry: R-3m (166)
DOS at the Fermi energy in states/eV per cell: 4.602

Cell lengths 4.942, 4.942, 10.462 Å; angles 76.34, 76.34, 60.00 degrees
Sites, in units of the cell vectors:
1 Hg 0.599 0.599 0.203
2 Hg 0.879 0.879 0.364
3 Hg 0.121 0.121 0.636
4 Hg 0.401 0.401 0.797
5 Na 0.500 0.500 0.500
6 Li 0.769 0.769 0.694
7 Li 0.231 0.231 0.306
8 Ba 0.000 0.000 0.000

***

Repeat the second record exactly.
Here is BaNaLi2Hg4 after structural relaxation from Alexandria via LeMat-Bulk. Energies are from PBE.

E_tot in Ry per atom: -0.1007
Calculated formation energy in eV/atom: -0.336
Total magnetization in μB per cell: 0.000
Symmetry: R-3m (166)
DOS at the Fermi energy in states/eV per cell: 4.602

Cell lengths 4.942, 4.942, 10.462 Å; angles 76.34, 76.34, 60.00 degrees
Sites, in units of the cell vectors:
1 Hg 0.599 0.599 0.203
2 Hg 0.879 0.879 0.364
3 Hg 0.121 0.121 0.636
4 Hg 0.401 0.401 0.797
5 Na 0.500 0.500 0.500
6 Li 0.769 0.769 0.694
7 Li 0.231 0.231 0.306
8 Ba 0.000 0.000 0.000

***

- Among the records above, which one has the lowest DOS at the Fermi energy?
  BaNa2LiHg

***

- What is the total magnetization in the first record?
  0.000 μB per cell